# 1
First-principles (PBE) data for an optimized crystal structure of Ni2Ir2Rh7, as listed in the Alexandria database.

Results
Uncorrected energy, eV per cell: -80.6
E above lowest polymorph, eV per formula unit: 0.00

```
data_Ni2Ir2Rh7
_chemical_formula_sum 'Ni2 Ir2 Rh7'
_cell_length_a 4.6518
_cell_length_b 6.0115
_cell_length_c 6.0257
_cell_angle_alpha 107.14
_cell_angle_beta 97.70
_cell_angle_gamma 105.04
_space_group_name_H-M_alt 'P -1'
_space_group_IT_number 2
loop_
_space_group_symop_operation_xyz
'x,y,z'
'-x,-y,-z'
loop_
_atom_site_label
_atom_site_type_symbol
_atom_site_fract_x
_atom_site_fract_y
_atom_site_fract_z
Ni1 Ni 0.0902 0.3656 0.3242
Ir1 Ir 0.3659 0.4573 0.7733
Rh1 Rh 0.0000 0.0000 0.5000
Rh2 Rh 0.1803 0.7231 0.1377
Rh3 Rh 0.2708 0.0926 0.9572
Rh4 Rh 0.4534 0.8114 0.5905
```

***

# 2
First-principles (PBE) data for an optimized crystal structure of Ni3Ir2Rh2, as listed in the Alexandria database.

Results
Uncorrected energy, eV per cell: -96.3
E above lowest polymorph, eV per formula unit: 1.52

```
data_Ni3Ir2Rh2
_chemical_formula_sum 'Ni6 Ir4 Rh4'
_cell_length_a 4.1096
_cell_length_b 17.6305
_cell_length_c 2.6225
_cell_angle_alpha 90.00
_cell_angle_beta 90.00
_cell_angle_gamma 90.00
_space_group_name_H-M_alt 'C m m m'
_space_group_IT_number 65
_space_group_name_Hall '-C 2 2'
loop_
_atom_site_label
_atom_site_type_symbol
_atom_site_fract_x
_atom_site_fract_y
_atom_site_fract_z
Ni1 Ni 0.0000 0.0000 0.0000
Ni2 Ni 0.0000 0.2842 0.0000
Ir1 Ir 0.0000 0.1407 0.0000
Rh1 Rh 0.0000 0.4230 0.5000
```

***

# 3
First-principles (PBE) data for an optimized crystal structure of Ni4Ir5Rh2, as listed in the Alexandria database.

Results
Uncorrected energy, eV per cell: -79.7

```
data_Ni4Ir5Rh2
_chemical_formula_sum 'Ni4 Ir5 Rh2'
_cell_length_a 6.7153
_cell_length_b 2.6674
_cell_length_c 8.4922
_cell_angle_alpha 90.00
_cell_angle_beta 99.50
_cell_angle_gamma 90.00
_space_group_name_H-M_alt 'P 1 2/m 1'
_space_group_IT_number 10
loop_
_space_group_symop_operation_xyz
'x,y,z'
'-x,-y,-z'
'-x,y,-z'
'x,-y,z'
loop_
_atom_site_label
_atom_site_type_symbol
_atom_site_fract_x
_atom_site_fract_y
_atom_site_fract_z
Ni1 Ni 0.1695 0.0000 0.4013
Ni2 Ni 0.2720 0.0000 0.9373
Ir1 Ir 0.1736 0.5000 0.6543
Ir2 Ir 0.4668 0.5000 0.1814
Ir3 Ir 0.5000 0.5000 0.5000
Rh1 Rh 0.0819 0.5000 0.1440
```

***

Q: Which M_tot values were calculated for the entries above? A: 0.0 0.0 0.0, in μB per formula unit.
Q: Which formation energy from the elements values were calculated for the entries above? A: 0.016 0.229 0.224, in eV/atom.
Q: Which V values were calculated for the entries above? A: 151.4 95.0 150.0, in Å³/f.u..